--- A ---
A relaxed structure of LaMgCoSn. Source: OQMD, functional PBE-GGA.

The value obtained for the magnetic moment is 0.107 μB/f.u.

The space group is F-43m (No. 216) and the conventional cell measures 7.0076, 7.0076 and 7.0076 Å, with angles of 90.00, 90.00 and 90.00 degrees. The asymmetric unit holds La at (0.0000, 0.0000, 0.0000), Mg at (0.2500, 0.2500, 0.7500), Co at (0.0000, 0.0000, 0.5000) and Sn at (0.2500, 0.2500, 0.2500).

--- B ---
A relaxed structure of LaMgCoSn. Source: OQMD, functional PBE-GGA.

The value obtained for the magnetic moment is 1.341 μB/f.u.

The space group is F-43m (No. 216) and the conventional cell measures 7.1015, 7.1015 and 7.1015 Å, with angles of 90.00, 90.00 and 90.00 degrees. The asymmetric unit holds La at (0.0000, 0.0000, 0.0000), Mg at (0.0000, 0.0000, 0.5000), Co at (0.2500, 0.2500, 0.7500) and Sn at (0.2500, 0.2500, 0.2500).

Most stable structure, least stable structure: B, A.

--- A ---
A relaxed structure of Cu2Ag3. Source: OQMD, functional PBE-GGA.

The space group is Cm (No. 8) and the conventional cell measures 14.4579, 3.8587 and 5.6859 Å, with angles of 90.00, 101.66 and 90.00 degrees. The asymmetric unit holds Cu at (0.0000, 0.0000, 0.0000), Cu at (0.0031, 0.0000, 0.5268), Cu at (0.2038, 0.0000, 0.6170), Cu at (0.4079, 0.0000, 0.7182), Ag at (0.0969, 0.5000, 0.8082), Ag at (0.1037, 0.5000, 0.3238), Ag at (0.2019, 0.0000, 0.1128), Ag at (0.3063, 0.5000, 0.9063), Ag at (0.3085, 0.5000, 0.4277) and Ag at (0.4111, 0.0000, 0.2188).

--- B ---
A relaxed structure of Cu2Ag3. Source: OQMD, functional PBE-GGA.

The space group is Pmmm (No. 47) and the conventional cell measures 2.8583, 3.6663 and 14.8586 Å, with angles of 90.00, 90.00 and 90.00 degrees. The asymmetric unit holds Cu at (0.0000, 0.0000, 0.0000), Cu at (0.0000, 0.0000, 0.4171), Cu at (0.5000, 0.5000, 0.5000), Ag at (0.0000, 0.0000, 0.2081), Ag at (0.5000, 0.5000, 0.0961) and Ag at (0.5000, 0.5000, 0.3204).

Most stable structure, least stable structure: B, A.